Record 1
First-principles (GGA-PBE) data for crystalline Pm2HfThN4 at its relaxed geometry, as listed in Alexandria via LeMat-Bulk.

Theoretical density = 10.2 g/cm3
Total moment = 0.00 Bohr magnetons per cell
Symmetry = P2/m
Calculated total energy = -72.54 eV/f.u.

Cell: 3.5013 6.1006 6.1086 Å, 108.89 90.00 90.00°
Fractional coordinates of all 8 atoms:
N 0.5000 0.2224 0.2172
Pm 0.5000 0.0000 0.5000
N 0.0000 0.2337 0.7745
N 0.0000 0.7663 0.2255
Th 0.5000 0.5000 0.0000
Pm 0.0000 0.5000 0.5000
N 0.5000 0.7776 0.7828
Hf 0.0000 0.0000 0.0000



Record 2
First-principles (GGA-PBE) data for crystalline PtRh4Au at its relaxed geometry, as listed in Alexandria via LeMat-Bulk.

Theoretical density = 14.0 g/cm3
Total moment = 1.82 Bohr magnetons per cell
E_form = 9.4 kcal/mol of atoms
Symmetry = F-43m

Cell: 5.1229 5.1229 5.1229 Å, 60.00 60.00 60.00°
Fractional coordinates of all 6 atoms:
Pt 0.0000 0.0000 0.0000
Rh 0.8754 0.3749 0.3749
Au 0.7500 0.7500 0.7500
Rh 0.3749 0.3749 0.8754
Rh 0.3749 0.8754 0.3749
Rh 0.3749 0.3749 0.3749



Record 3
First-principles (GGA-PBE) data for crystalline Be2AuC at its relaxed geometry, as listed in Alexandria via LeMat-Bulk.

Theoretical density = 7.9 g/cm3
Total moment = 0.00 Bohr magnetons per cell
E_form = 10.7 kcal/mol of atoms
Symmetry = I-42d

Cell: 4.2737 4.2737 6.0304 Å, 69.25 69.25 90.00°
Fractional coordinates of all 8 atoms:
Be 0.4626 0.1250 0.2500
C 0.5000 0.5000 0.0000
Be 0.2874 0.6250 0.2500
Au 0.0000 0.0000 0.0000
C 0.2500 0.7500 0.5000
Be 0.3750 0.5374 0.7500
Au 0.7500 0.2500 0.5000
Be 0.8750 0.7126 0.7500



Record 4
First-principles (GGA-PBE) data for crystalline TcHPd at its relaxed geometry, as listed in Alexandria via LeMat-Bulk.

Theoretical density = 10.6 g/cm3
Total moment = 0.00 Bohr magnetons per cell
Energy above the most stable polymorph in this dataset = 86 meV/atom
Symmetry = P2_1/m

Cell: 2.8045 5.7932 3.9616 Å, 90.00 90.00 90.00°
Fractional coordinates of all 6 atoms:
H 0.3370 0.5974 0.2804
H 0.8317 0.9326 0.7804
Pd 0.8339 0.8958 0.2803
Tc 0.8374 0.3647 0.2804
Pd 0.3349 0.6340 0.7803
Tc 0.3313 0.1652 0.7803